No. 1
A plane-wave DFT calculation with PBE was carried out for RbCd9In2 after structural relaxation.

```
data_RbCd9In2
_chemical_formula_sum 'Rb1 Cd9 In2'
_space_group_name_H-M_alt 'P 6/m m m'
_space_group_IT_number 191
_space_group_name_Hall '-P 6 2'
_cell_length_a 10.3613
_cell_length_b 10.3613
_cell_length_c 3.3522
_cell_angle_alpha 90.00
_cell_angle_beta 90.00
_cell_angle_gamma 120.00
loop_
_atom_site_label
_atom_site_fract_x
_atom_site_fract_y
_atom_site_fract_z
Rb1 0.0000 0.0000 0.0000
Cd1 0.0000 0.5000 0.0000
Cd2 0.1793 0.3587 0.5000
In1 0.3333 0.6667 0.0000
```

Electronic total energy in eV/atom: -1.194
ΔE_f in eV/f.u.: 0.4
Calculated volume in Å³ per cell: 311.7
ΔE to the lowest computed polymorph in eV/f.u.: 0.848

No. 2
A plane-wave DFT calculation with PBE was carried out for K4PmY3Te8 after structural relaxation.

```
data_K4PmY3Te8
_chemical_formula_sum 'K12 Pm3 Y9 Te24'
_space_group_name_H-M_alt 'R -3 m'
_space_group_IT_number 166
_space_group_name_Hall '-R 3 2"'
_cell_length_a 9.0453
_cell_length_b 9.0453
_cell_length_c 24.7432
_cell_angle_alpha 90.00
_cell_angle_beta 90.00
_cell_angle_gamma 120.00
loop_
_atom_site_label
_atom_site_fract_x
_atom_site_fract_y
_atom_site_fract_z
K1 0.0000 0.0000 0.0000
K2 0.0000 0.5000 0.0000
Pm1 0.0000 0.0000 0.5000
Y1 0.0000 0.5000 0.5000
Te1 0.0000 0.0000 0.2360
Te2 0.0049 0.5024 0.7632
```

Raw formation energy in eV/atom: -1.41
Electronic total energy in eV/atom: -4.767
Calculated volume in Å³ per cell: 1753.2

No. 3
A plane-wave DFT calculation with PBE was carried out for SrLa2AgRh after structural relaxation.

```
data_SrLa2AgRh
_chemical_formula_sum 'Sr1 La2 Ag1 Rh1'
_space_group_name_H-M_alt 'P 4/m m m'
_space_group_IT_number 123
_space_group_name_Hall '-P 4 2'
_cell_length_a 5.442
_cell_length_b 5.442
_cell_length_c 6.006
_cell_angle_alpha 90.00
_cell_angle_beta 90.00
_cell_angle_gamma 90.00
loop_
_atom_site_label
_atom_site_fract_x
_atom_site_fract_y
_atom_site_fract_z
Sr1 0.000 0.000 0.000
La1 0.000 0.500 0.500
Ag1 0.500 0.500 0.000
Rh1 0.000 0.000 0.500
```

Electronic total energy in eV/atom: -4.578
ΔE_f in eV/f.u.: -1.1
Calculated volume in Å³ per cell: 177.8
ΔE to the lowest computed polymorph in eV/f.u.: 0.000

No. 4
A plane-wave DFT calculation with PBE was carried out for MnNbGaMo after structural relaxation.

```
data_MnNbGaMo
_chemical_formula_sum 'Mn4 Nb4 Ga4 Mo4'
_space_group_name_H-M_alt 'F -4 3 m'
_space_group_IT_number 216
_space_group_name_Hall 'F -4 2 3'
_cell_length_a 6.271
_cell_length_b 6.271
_cell_length_c 6.271
_cell_angle_alpha 90.00
_cell_angle_beta 90.00
_cell_angle_gamma 90.00
loop_
_atom_site_label
_atom_site_fract_x
_atom_site_fract_y
_atom_site_fract_z
Mn1 0.000 0.000 0.000
Nb1 0.250 0.250 0.750
Ga1 0.250 0.250 0.250
Mo1 0.000 0.000 0.500
```

Electronic total energy in eV/atom: -8.304
ΔE_f in eV/f.u.: -0.1
Calculated volume in Å³ per cell: 246.6

No. 5
A plane-wave DFT calculation with PBE was carried out for In3HgTe3 after structural relaxation.

```
data_In3HgTe3
_chemical_formula_sum 'In12 Hg4 Te12'
_space_group_name_H-M_alt 'P 1 21/c 1'
_space_group_IT_number 14
_space_group_name_Hall '-P 2ybc'
_cell_length_a 9.189
_cell_length_b 7.242
_cell_length_c 15.191
_cell_angle_alpha 90.00
_cell_angle_beta 101.09
_cell_angle_gamma 90.00
loop_
_atom_site_label
_atom_site_fract_x
_atom_site_fract_y
_atom_site_fract_z
In1 0.078 0.039 0.361
In2 0.323 0.170 0.956
In3 0.373 0.730 0.283
Hg1 0.105 0.221 0.566
Te1 0.114 0.613 0.679
Te2 0.350 0.160 0.757
Te3 0.361 0.749 0.970
```

Raw formation energy in eV/atom: -0.20
Electronic total energy in eV/atom: -2.766
Calculated volume in Å³ per cell: 992.0

No. 6
A plane-wave DFT calculation with PBE was carried out for MgGaSi after structural relaxation.

```
data_MgGaSi
_chemical_formula_sum 'Mg1 Ga1 Si1'
_space_group_name_H-M_alt 'P 3 m 1'
_space_group_IT_number 156
_space_group_name_Hall 'P 3 -2"'
_cell_length_a 4.1188
_cell_length_b 4.1188
_cell_length_c 3.9657
_cell_angle_alpha 90.00
_cell_angle_beta 90.00
_cell_angle_gamma 120.00
loop_
_atom_site_label
_atom_site_fract_x
_atom_site_fract_y
_atom_site_fract_z
Mg1 0.0000 0.0000 0.0000
Ga1 0.6667 0.3333 0.4384
Si1 0.3333 0.6667 0.5742
```

Raw formation energy in eV/atom: 0.09
Electronic total energy in eV/atom: -3.261
Calculated volume in Å³ per cell: 58.3

No. 7
A plane-wave DFT calculation with PBE was carried out for Au3C after structural relaxation.

```
data_Au3C
_chemical_formula_sum 'Au3 C1'
_space_group_name_H-M_alt 'P m m 2'
_space_group_IT_number 25
_space_group_name_Hall 'P 2 -2'
_cell_length_a 2.903
_cell_length_b 3.289
_cell_length_c 6.944
_cell_angle_alpha 90.00
_cell_angle_beta 90.00
_cell_angle_gamma 90.00
loop_
_atom_site_label
_atom_site_fract_x
_atom_site_fract_y
_atom_site_fract_z
Au1 0.000 0.000 0.000
Au2 0.000 0.500 0.356
Au3 0.500 0.000 0.633
C1 0.500 0.500 0.092
```

Electronic total energy in eV/atom: -3.684
ΔE_f in eV/f.u.: 4.3
Calculated volume in Å³ per cell: 66.3
ΔE to the lowest computed polymorph in eV/f.u.: 2.081

No. 8
A plane-wave DFT calculation with PBE was carried out for CsSCl4 after structural relaxation.

```
data_CsSCl4
_chemical_formula_sum 'Cs2 S2 Cl8'
_space_group_name_H-M_alt 'P 1 21/m 1'
_space_group_IT_number 11
_space_group_name_Hall '-P 2yb'
_cell_length_a 5.095
_cell_length_b 8.590
_cell_length_c 10.307
_cell_angle_alpha 90.00
_cell_angle_beta 91.91
_cell_angle_gamma 90.00
loop_
_atom_site_label
_atom_site_fract_x
_atom_site_fract_y
_atom_site_fract_z
Cs1 0.007 0.250 0.431
S1 0.409 0.250 0.845
Cl1 0.021 0.250 0.804
Cl2 0.417 0.250 0.047
Cl3 0.490 0.043 0.640
```

Raw formation energy in eV/atom: -0.63
Electronic total energy in eV/atom: -2.696
Calculated volume in Å³ per cell: 450.8
ΔE to the lowest computed polymorph in eV/f.u.: 0.426

No. 9
A plane-wave DFT calculation with PBE was carried out for Cu2ReAs after structural relaxation.

```
data_Cu2ReAs
_chemical_formula_sum 'Cu2 Re1 As1'
_space_group_name_H-M_alt 'P m m m'
_space_group_IT_number 47
_space_group_name_Hall '-P 2 2'
_cell_length_a 3.078
_cell_length_b 4.098
_cell_length_c 4.375
_cell_angle_alpha 90.00
_cell_angle_beta 90.00
_cell_angle_gamma 90.00
loop_
_atom_site_label
_atom_site_fract_x
_atom_site_fract_y
_atom_site_fract_z
Cu1 0.000 0.000 0.000
Cu2 0.500 0.500 0.000
Re1 0.000 0.500 0.500
As1 0.500 0.000 0.500
```

Electronic total energy in eV/atom: -5.960
ΔE_f in eV/f.u.: 1.5
Calculated volume in Å³ per cell: 55.2

No. 10
A plane-wave DFT calculation with PBE was carried out for CaFeAg2 after structural relaxation.

```
data_CaFeAg2
_chemical_formula_sum 'Ca1 Fe1 Ag2'
_space_group_name_H-M_alt 'P m m 2'
_space_group_IT_number 25
_space_group_name_Hall 'P 2 -2'
_cell_length_a 3.173
_cell_length_b 4.788
_cell_length_c 5.144
_cell_angle_alpha 90.00
_cell_angle_beta 90.00
_cell_angle_gamma 90.00
loop_
_atom_site_label
_atom_site_fract_x
_atom_site_fract_y
_atom_site_fract_z
Ca1 0.000 0.000 0.000
Fe1 0.000 0.500 0.602
Ag1 0.500 0.000 0.509
Ag2 0.500 0.500 0.158
```

Electronic total energy in eV/atom: -3.765
ΔE_f in eV/f.u.: 1.1
Calculated volume in Å³ per cell: 78.2
ΔE to the lowest computed polymorph in eV/f.u.: 0.303

No. 11
A plane-wave DFT calculation with PBE was carried out for Sc6In3Ag after structural relaxation.

```
data_Sc6In3Ag
_chemical_formula_sum 'Sc12 In6 Ag2'
_space_group_name_H-M_alt 'P 1 21/m 1'
_space_group_IT_number 11
_space_group_name_Hall '-P 2yb'
_cell_length_a 8.647
_cell_length_b 5.041
_cell_length_c 10.955
_cell_angle_alpha 90.00
_cell_angle_beta 109.31
_cell_angle_gamma 90.00
loop_
_atom_site_label
_atom_site_fract_x
_atom_site_fract_y
_atom_site_fract_z
Sc1 0.045 0.250 0.420
Sc2 0.174 0.750 0.173
Sc3 0.261 0.250 0.010
Sc4 0.347 0.750 0.799
Sc5 0.358 0.250 0.330
Sc6 0.412 0.250 0.629
In1 0.028 0.750 0.878
In2 0.121 0.250 0.718
In3 0.278 0.750 0.475
Ag1 0.460 0.750 0.097
```

Electronic total energy in eV/atom: -5.228
ΔE_f in eV/f.u.: -3.2
Calculated volume in Å³ per cell: 450.7

No. 12
A plane-wave DFT calculation with PBE was carried out for Hf2MoIr2 after structural relaxation.

```
data_Hf2MoIr2
_chemical_formula_sum 'Hf4 Mo2 Ir4'
_space_group_name_H-M_alt 'P 4/m b m'
_space_group_IT_number 127
_space_group_name_Hall '-P 4 2ab'
_cell_length_a 7.545
_cell_length_b 7.545
_cell_length_c 3.153
_cell_angle_alpha 90.00
_cell_angle_beta 90.00
_cell_angle_gamma 90.00
loop_
_atom_site_label
_atom_site_fract_x
_atom_site_fract_y
_atom_site_fract_z
Hf1 0.167 0.333 0.000
Mo1 0.000 0.000 0.500
Ir1 0.132 0.632 0.500
```

Electronic total energy in eV/atom: -10.107
ΔE_f in eV/f.u.: -2.1
Calculated volume in Å³ per cell: 179.4